No. 1
Density functional theory data (PBE-GGA) for crystalline TaAlTl2Hg at its relaxed geometry.

## Properties
As for the energy of formation: 1.2568 eV/atom. Its crystal system is tetragonal. The value obtained for the density of states at the Fermi level is 7.100 states/eV/f.u.

Lattice parameters (Å, degrees): 5.2855 5.0122 5.2855 90.00 90.00 90.00
Closest atoms and distances in Å follow each position.
Fractional coordinates of all 5 atoms:
Tl (0.0000, 0.0000, 0.5000)  2 Al 2.64
Tl (0.5000, 0.0000, 0.0000)  2 Al 2.64
Al (0.0000, 0.0000, 0.0000)  2 Hg 2.51, 4 Tl 2.64
Ta (0.5000, 0.5000, 0.5000)  8 Tl 3.64, 4 Hg 3.74
Hg (0.0000, 0.5000, 0.0000)  2 Al 2.51

---

No. 2
Density functional theory data (PBE-GGA) for crystalline KZrAg2 at its relaxed geometry.

## Properties
As for the energy of formation: 0.3315 eV/atom. Its crystal system is orthorhombic. The value obtained for the relative energy among the computed polymorphs is 210 meV per atom. The value obtained for the density of states at the Fermi level is 3.493 states/eV/f.u.

Lattice parameters (Å, degrees): 3.1085 3.1085 10.1572 90.00 90.00 90.21
Closest atoms and distances in Å follow each position.
Fractional coordinates of all 4 atoms:
Ag (0.5000, 0.5000, 0.2033)  8 Ag 2.91-3.11
Ag (0.0000, 0.0000, 0.0153)  8 Ag 2.91-3.11, 4 Zr 3.02-3.03
K (0.0000, 0.0000, 0.4707)  4 K 3.11
Zr (0.5000, 0.5000, 0.8107)  4 Ag 3.02-3.03, 4 Zr 3.11

---

No. 3
Density functional theory data (PBE-GGA) for crystalline La3DyS4 at its relaxed geometry.

## Properties
For the uncorrected formation energy, the calculation gives -2.085 eV/atom. Its crystal system is cubic. The value obtained for the relative energy among the computed polymorphs is 36 meV per atom. The value obtained for the density of states at the Fermi level is 5.392 states/eV/f.u.

Lattice parameters (Å, degrees): 5.8006 5.8006 5.8006 90.00 90.00 90.00
Closest atoms and distances in Å follow each position.
Fractional coordinates of all 8 atoms:
S (0.5000, 0.0000, 0.0000)  4 La 2.90, 2 Dy 2.90
S (0.5000, 0.5000, 0.5000)  6 La 2.90
S (0.0000, 0.5000, 0.0000)  4 La 2.90, 2 Dy 2.90
S (0.0000, 0.0000, 0.5000)  4 La 2.90, 2 Dy 2.90
La (0.5000, 0.0000, 0.5000)  6 S 2.90
La (0.0000, 0.5000, 0.5000)  6 S 2.90
La (0.5000, 0.5000, 0.0000)  6 S 2.90
Dy (0.0000, 0.0000, 0.0000)  6 S 2.90

---

What did the second record say?
Density functional theory data (PBE-GGA) for crystalline KZrAg2 at its relaxed geometry.

## Properties
As for the energy of formation: 0.3315 eV/atom. Its crystal system is orthorhombic. The value obtained for the relative energy among the computed polymorphs is 210 meV per atom. The value obtained for the density of states at the Fermi level is 3.493 states/eV/f.u.

Lattice parameters (Å, degrees): 3.1085 3.1085 10.1572 90.00 90.00 90.21
Closest atoms and distances in Å follow each position.
Fractional coordinates of all 4 atoms:
Ag (0.5000, 0.5000, 0.2033)  8 Ag 2.91-3.11
Ag (0.0000, 0.0000, 0.0153)  8 Ag 2.91-3.11, 4 Zr 3.02-3.03
K (0.0000, 0.0000, 0.4707)  4 K 3.11
Zr (0.5000, 0.5000, 0.8107)  4 Ag 3.02-3.03, 4 Zr 3.11